# 1
Below is CsMnSeI2 after structural relaxation, with properties calculated at the PBE level.

abc: 5.996 5.996 4.924
angles: 90.00 90.00 90.00
Fractional coordinates of all 5 atoms:
Cs 0.500 0.500 0.500
I 0.000 0.500 0.000
I 0.500 0.000 0.000
Mn 0.000 0.000 0.000
Se 0.000 0.000 0.500

## Properties
As for the space group: No. 123. Its energy above the most stable polymorph in this dataset is 0 meV per atom. The formation energy (no corrections) is -0.67 eV per atom.

=====

# 2
Below is Er2HSe after structural relaxation, with properties calculated at the PBE level.

abc: 3.718 3.718 6.849
angles: 74.25 74.25 60.00
Fractional coordinates of all 4 atoms:
H 0.000 0.000 0.000
Se 0.500 0.500 0.500
Er 0.264 0.264 0.209
Er 0.736 0.736 0.791

## Properties
As for the space group: No. 166. Its energy above the most stable polymorph in this dataset is 112 meV per atom.

=====

# 3
Below is NdTlCdAg after structural relaxation, with properties calculated at the PBE level.

abc: 5.179 5.179 5.179
angles: 60.00 60.00 60.00
Fractional coordinates of all 4 atoms:
Tl 0.500 0.500 0.500
Nd 0.250 0.250 0.250
Ag 0.000 0.000 0.000
Cd 0.750 0.750 0.750

## Properties
As for the space group: No. 216. The value obtained for the energy of formation from the pure elements is -1.03 eV per formula unit.

=====

# 4
Below is Rb2PmErS4 after structural relaxation, with properties calculated at the PBE level.

abc: 4.119 7.137 8.059
angles: 107.16 90.00 90.00
Fractional coordinates of all 8 atoms:
Rb 0.500 0.000 0.500
Rb 0.000 0.500 0.500
Pm 0.500 0.500 0.000
Er 0.000 0.000 0.000
S 0.500 0.223 0.192
S 0.500 0.777 0.808
S 0.000 0.261 0.805
S 0.000 0.739 0.195

## Properties
As for the space group: No. 10. The formation energy (no corrections) is -1.84 eV per atom.

=====

# 5
Below is Lu2ScGa after structural relaxation, with properties calculated at the PBE level.

abc: 4.472 4.577 4.577
angles: 90.00 90.00 90.00
Fractional coordinates of all 4 atoms:
Sc 0.500 0.500 0.500
Lu 0.000 0.000 0.500
Lu 0.000 0.500 0.000
Ga 0.500 0.000 0.000

## Properties
As for the space group: No. 123. The value obtained for the energy of formation from the pure elements is -1.02 eV per formula unit. Its energy above the most stable polymorph in this dataset is 29 meV per atom.

=====

# 6
Below is Ho3Sc4In after structural relaxation, with properties calculated at the PBE level.

abc: 5.837 6.706 10.732
angles: 90.00 90.00 90.00
Fractional coordinates of all 16 atoms:
Ho 0.625 0.632 0.000
Ho 0.978 0.624 0.241
Ho 0.478 0.376 0.259
Ho 0.125 0.368 0.500
Ho 0.478 0.376 0.741
Ho 0.978 0.624 0.759
Sc 0.163 0.887 0.000
Sc 0.649 0.122 0.000
Sc 0.988 0.120 0.242
Sc 0.488 0.880 0.258
Sc 0.149 0.878 0.500
Sc 0.663 0.113 0.500
Sc 0.488 0.880 0.742
Sc 0.988 0.120 0.758
In 0.146 0.360 0.000
In 0.646 0.640 0.500

## Properties
As for the space group: No. 31. The value obtained for the energy of formation from the pure elements is -0.85 eV per formula unit.

=====

# 7
Below is Th2PtAu2N2 after structural relaxation, with properties calculated at the PBE level.

abc: 4.728 4.728 8.266
angles: 90.00 90.00 120.00
Fractional coordinates of all 7 atoms:
Th 0.667 0.333 0.153
Th 0.333 0.667 0.847
Pt 0.000 0.000 0.000
Au 0.000 0.000 0.340
Au 0.000 0.000 0.660
N 0.667 0.333 0.888
N 0.333 0.667 0.112

## Properties
As for the space group: No. 164. The formation energy (no corrections) is -0.45 eV per atom.

=====

# 8
Below is Zr2HgIr2 after structural relaxation, with properties calculated at the PBE level.

abc: 4.537 4.537 6.220
angles: 68.61 68.61 90.00
Fractional coordinates of all 5 atoms:
Ir 0.382 0.382 0.235
Ir 0.618 0.618 0.765
Hg 0.000 0.000 0.000
Zr 0.750 0.250 0.500
Zr 0.250 0.750 0.500

## Properties
As for the space group: No. 139. The value obtained for the energy of formation from the pure elements is -2.02 eV per formula unit. Its energy above the most stable polymorph in this dataset is 197 meV per atom.

=====

Which formula does entry 4 have?
Rb2PmErS4